Entry from Alexandria: a relaxed structure of Y2Te3H (PBE).

Properties
- D(E_F) (states/eV per cell) = 7.03
- crystal system = monoclinic
- total DFT energy (no corrections) (eV per atom) = -5.19

Cell lengths 8.356, 8.356, 10.784 Å; angles 114.37, 114.37, 32.46 degrees
Element x y z (fractional)
Y 0.096 0.096 0.450
Y 0.354 0.354 0.168
Y 0.646 0.646 0.832
Y 0.904 0.904 0.550
Te 0.140 0.140 0.004
Te 0.278 0.278 0.380
Te 0.440 0.440 0.747
Te 0.560 0.560 0.253
Te 0.722 0.722 0.620
Te 0.860 0.860 0.996
H 0.056 0.056 0.622
H 0.944 0.944 0.378

---

Entry from Alexandria: a relaxed structure of YTe2H (PBE).

Properties
- D(E_F) (states/eV per cell) = 0.00
- crystal system = triclinic
- total DFT energy (no corrections) (eV per atom) = -4.84

Cell lengths 4.446, 6.156, 9.231 Å; angles 105.75, 103.85, 90.14 degrees
Element x y z (fractional)
Y 0.179 0.185 0.359
Y 0.821 0.815 0.641
Te 0.194 0.703 0.388
Te 0.440 0.796 0.881
Te 0.560 0.204 0.119
Te 0.806 0.297 0.612
H 0.080 0.513 0.995
H 0.920 0.487 0.005

---

Entry from Alexandria: a relaxed structure of YTe2H (PBE).

Properties
- D(E_F) (states/eV per cell) = 3.98
- crystal system = tetragonal
- total DFT energy (no corrections) (eV per atom) = -4.25

Cell lengths 7.772, 7.772, 7.772 Å; angles 135.31, 135.31, 65.05 degrees
Element x y z (fractional)
Y 0.375 0.625 0.750
Y 0.625 0.375 0.250
Te 0.135 0.385 0.750
Te 0.385 0.135 0.250
Te 0.615 0.865 0.750
Te 0.865 0.615 0.250
H 0.125 0.875 0.250
H 0.875 0.125 0.750

---

Entry from Alexandria: a relaxed structure of YTe2H (PBE).

Properties
- D(E_F) (states/eV per cell) = 0.00
- crystal system = orthorhombic
- total DFT energy (no corrections) (eV per atom) = -4.77

Cell lengths 5.974, 6.385, 12.855 Å; angles 90.00, 90.00, 90.00 degrees
Element x y z (fractional)
Y 0.039 0.250 0.136
Y 0.461 0.750 0.636
Y 0.539 0.250 0.364
Y 0.961 0.750 0.864
Te 0.021 0.750 0.112
Te 0.033 0.250 0.371
Te 0.467 0.750 0.871
Te 0.479 0.250 0.612
Te 0.521 0.750 0.388
Te 0.533 0.250 0.129
Te 0.967 0.750 0.629
Te 0.979 0.250 0.888
H 0.246 0.750 0.358
H 0.254 0.250 0.858
H 0.746 0.750 0.142
H 0.754 0.250 0.642

---

Question: D(E_F) of number 3 (YTe2H)?
Answer: 3.98 states/eV per cell

---

Question: Which of these has the highest D(E_F)?
Answer: Y2Te3H

---

Question: Number 4 is which compound?
Answer: YTe2H